1.
## HfZrNb2C4 (PBE)

Data for an optimized crystal structure of HfZrNb2C4.

Lattice parameters (Å, degrees): 5.621 3.236 5.635 90.00 109.43 90.00
Space group P2/m (No. 10)
Asymmetric unit:
Hf (0.000, 0.000, 0.000)
Zr (0.500, 0.500, 0.000)
Nb (0.000, 0.500, 0.500)
Nb (0.500, 0.000, 0.500)
C (0.244, 0.000, 0.741)
C (0.251, 0.500, 0.258)

Summary:
Density of states at the Fermi level in states/eV per cell: 2.43
E_form in eV per formula unit: -5.58

=====

2.
## Li2TbErSe4 (PBE)

Data for an optimized crystal structure of Li2TbErSe4.

Lattice parameters (Å, degrees): 6.904 4.063 7.034 90.00 109.82 90.00
Space group P2/m (No. 10)
Asymmetric unit:
Li (0.000, 0.000, 0.000)
Li (0.000, 0.500, 0.500)
Tb (0.500, 0.000, 0.500)
Er (0.500, 0.500, 0.000)
Se (0.247, 0.500, 0.246)
Se (0.248, 0.000, 0.752)

Summary:
Density of states at the Fermi level in states/eV per cell: 0.00
E_form (uncorrected) in eV/atom: -1.70

=====

3.
## NiTe2I (PBE)

Data for an optimized crystal structure of NiTe2I.

Lattice parameters (Å, degrees): 3.894 5.497 11.964 89.97 80.74 89.97
Space group P1 (No. 1)
Asymmetric unit:
Ni (0.000, 0.000, 0.000)
Ni (0.412, 0.500, 0.182)
Te (0.429, 0.982, 0.144)
Te (0.567, 0.942, 0.865)
Te (0.845, 0.442, 0.317)
Te (0.983, 0.482, 0.038)
I (0.646, 0.313, 0.702)
I (0.763, 0.813, 0.479)

Summary:
Density of states at the Fermi level in states/eV per cell: 2.37
E_form (uncorrected) in eV/atom: -0.12

=====

4.
## BaCeMgS4 (PBE)

Data for an optimized crystal structure of BaCeMgS4.

Lattice parameters (Å, degrees): 6.805 6.648 8.628 90.00 108.12 90.00
Space group P2_1/m (No. 11)
Asymmetric unit:
Ba (0.245, 0.250, 0.444)
Ce (0.283, 0.250, 0.947)
Mg (0.254, 0.750, 0.172)
S (0.014, 0.750, 0.906)
S (0.048, 0.750, 0.349)
S (0.484, 0.510, 0.787)

Summary:
E_form (uncorrected) in eV/atom: -1.67

=====

5.
## La3Pb4Au3 (PBE)

Data for an optimized crystal structure of La3Pb4Au3.

Lattice parameters (Å, degrees): 10.411 10.411 10.411 90.00 90.00 90.00
Space group I-43d (No. 220)
Asymmetric unit:
La (0.000, 0.250, 0.875)
Pb (0.091, 0.409, 0.591)
Au (0.000, 0.250, 0.375)

Summary:
Density of states at the Fermi level in states/eV per cell: 43.29
E_form in eV per formula unit: -6.13

=====

6.
## BaLi2Ru (PBE)

Data for an optimized crystal structure of BaLi2Ru.

Lattice parameters (Å, degrees): 6.932 6.932 6.932 90.00 90.00 90.00
Space group Fm-3m (No. 225)
Asymmetric unit:
Ba (0.000, 0.000, 0.000)
Li (0.250, 0.250, 0.250)
Ru (0.000, 0.000, 0.500)

Summary:
Density of states at the Fermi level in states/eV per cell: 14.67
E_form in eV per formula unit: 2.02

=====

7.
## MgReTe2 (PBE)

Data for an optimized crystal structure of MgReTe2.

Lattice parameters (Å, degrees): 3.300 5.412 10.556 90.00 90.00 90.00
Space group Cmmm (No. 65)
Asymmetric unit:
Mg (0.000, 0.000, 0.000)
Re (0.000, 0.000, 0.500)
Te (0.000, 0.500, 0.293)

Summary:
Density of states at the Fermi level in states/eV per cell: 6.62
E_form (uncorrected) in eV/atom: 0.59

=====

8.
## NdYTmCd (PBE)

Data for an optimized crystal structure of NdYTmCd.

Lattice parameters (Å, degrees): 7.766 7.766 7.766 90.00 90.00 90.00
Space group F-43m (No. 216)
Asymmetric unit:
Nd (0.000, 0.000, 0.000)
Y (0.000, 0.000, 0.500)
Tm (0.250, 0.250, 0.250)
Cd (0.250, 0.250, 0.750)

Summary:
Density of states at the Fermi level in states/eV per cell: 21.29
E_form in eV per formula unit: -0.18

=====

9.
## LaTlH6Ru (PBE)

Data for an optimized crystal structure of LaTlH6Ru.

Lattice parameters (Å, degrees): 4.9319 4.9319 4.5804 90.00 90.00 120.00
Space group P3m1 (No. 156)
Asymmetric unit:
La (0.0000, 0.0000, 0.0000)
Tl (0.3333, 0.6667, 0.4044)
H (0.3098, 0.1549, 0.4952)
H (0.5101, 0.0203, 0.9062)
Ru (0.6667, 0.3333, 0.6792)

Summary:
Calculated total energy in eV/atom: -4.3599

=====

10.
## Th2BeSiNi6 (PBE)

Data for an optimized crystal structure of Th2BeSiNi6.

Lattice parameters (Å, degrees): 10.819 4.997 7.543 90.00 130.83 90.00
Space group C2/m (No. 12)
Asymmetric unit:
Th (0.243, 0.000, 0.285)
Be (0.000, 0.500, 0.000)
Si (0.000, 0.000, 0.500)
Ni (0.011, 0.256, 0.764)
Ni (0.246, 0.500, 0.096)

Summary:
Density of states at the Fermi level in states/eV per cell: 14.81
E_form (uncorrected) in eV/atom: -0.46

=====

11.
## MnSb2Cl (PBE)

Data for an optimized crystal structure of MnSb2Cl.

Lattice parameters (Å, degrees): 4.203 4.203 5.609 90.00 90.00 90.00
Space group P4/mmm (No. 123)
Asymmetric unit:
Mn (0.000, 0.000, 0.000)
Sb (0.000, 0.500, 0.500)
Cl (0.500, 0.500, 0.000)

Summary:
Density of states at the Fermi level in states/eV per cell: 2.83
E_form (uncorrected) in eV/atom: 0.26

=====

12.
## Tb12CeIn3 (PBE)

Data for an optimized crystal structure of Tb12CeIn3.

Lattice parameters (Å, degrees): 4.870 4.870 19.865 90.00 90.00 90.00
Space group P4/mmm (No. 123)
Asymmetric unit:
Tb (0.000, 0.000, 0.000)
Tb (0.000, 0.000, 0.245)
Tb (0.000, 0.000, 0.500)
Tb (0.000, 0.500, 0.123)
Tb (0.000, 0.500, 0.370)
Ce (0.500, 0.500, 0.500)
In (0.500, 0.500, 0.000)
In (0.500, 0.500, 0.244)

Summary:
Density of states at the Fermi level in states/eV per cell: 23.63
E_form in eV per formula unit: -2.84

=====

What did the fourth record say?
## BaCeMgS4 (PBE)

Data for an optimized crystal structure of BaCeMgS4.

Lattice parameters (Å, degrees): 6.805 6.648 8.628 90.00 108.12 90.00
Space group P2_1/m (No. 11)
Asymmetric unit:
Ba (0.245, 0.250, 0.444)
Ce (0.283, 0.250, 0.947)
Mg (0.254, 0.750, 0.172)
S (0.014, 0.750, 0.906)
S (0.048, 0.750, 0.349)
S (0.484, 0.510, 0.787)

Summary:
E_form (uncorrected) in eV/atom: -1.67

=====

What is the formula in the third record?
NiTe2I